The following is a PBE calculation of an optimized crystal structure of Pa4Te3Se, from Alexandria via LeMat-Bulk.

The structure belongs to space group R-3m (No. 166, hexagonal axes); the cell edges are 4.0619, 4.0619 and 46.1220 Å and the angles 90.00°, 90.00° and 120.00°. Symmetry generates all atoms from Pa at (0.0000, 0.0000, 0.1229), Pa at (0.0000, 0.0000, 0.3683), Te at (0.0000, 0.0000, 0.2544), Te at (0.0000, 0.0000, 0.5000) and Se at (0.0000, 0.0000, 0.0000).

For the magnetic moment, the calculation gives 3.433 μB per cell. The value obtained for the energy relative to the elements, uncorrected is -584 kJ/mol of formula units. The volume comes out at 659 Å³/cell.

***

The following is a PBE calculation of an optimized crystal structure of Te2PI, from Alexandria via LeMat-Bulk.

The structure belongs to space group Fm-3m (No. 225); the cell edges are 7.487, 7.487 and 7.487 Å and the angles 90.00°, 90.00° and 90.00°. Symmetry generates all atoms from Te at (0.250, 0.250, 0.250), P at (0.000, 0.000, 0.000) and I at (0.000, 0.000, 0.500).

For the magnetic moment, the calculation gives 0.000 μB per cell. The value obtained for the energy relative to the elements, uncorrected is 283 kJ/mol of formula units. The value obtained for the relative energy among the computed polymorphs is 0.539 eV/atom. The volume comes out at 420 Å³/cell.

***

The following is a PBE calculation of an optimized crystal structure of SiIrRhN2, from Alexandria via LeMat-Bulk.

The structure belongs to space group P4/mmm (No. 123); the cell edges are 3.527, 3.527 and 5.168 Å and the angles 90.00°, 90.00° and 90.00°. Symmetry generates all atoms from Si at (0.000, 0.000, 0.000), Ir at (0.500, 0.500, 0.500), Rh at (0.000, 0.000, 0.500) and N at (0.000, 0.500, 0.000).

For the magnetic moment, the calculation gives 0.001 μB per cell. The value obtained for the energy relative to the elements, uncorrected is 575 kJ/mol of formula units. The volume comes out at 64 Å³/cell.

***

The following is a PBE calculation of an optimized crystal structure of AcSmPd, from Alexandria via LeMat-Bulk.

The structure belongs to space group P2_1/c (No. 14); the cell edges are 7.397, 6.397 and 10.803 Å and the angles 90.00°, 128.84° and 90.00°. Symmetry generates all atoms from Ac at (0.194, 0.141, 0.386), Sm at (0.331, 0.629, 0.636) and Pd at (0.328, 0.636, 0.364).

For the magnetic moment, the calculation gives 0.001 μB per cell. The value obtained for the relative energy among the computed polymorphs is 0.005 eV/atom. The volume comes out at 398 Å³/cell. For the formation energy, the calculation gives -1.33 eV per formula unit.

***

The following is a PBE calculation of an optimized crystal structure of Ho2ThWC4, from Alexandria via LeMat-Bulk.

The structure belongs to space group Cmcm (No. 63); the cell edges are 3.517, 12.179 and 12.236 Å and the angles 90.00°, 90.00° and 90.00°. Symmetry generates all atoms from Ho at (0.000, 0.130, 0.039), Th at (0.000, 0.398, 0.250), W at (0.000, 0.339, 0.750), C at (0.000, 0.068, 0.250), C at (0.000, 0.236, 0.629) and C at (0.000, 0.500, 0.000).

For the magnetic moment, the calculation gives 0.000 μB per cell. The volume comes out at 524 Å³/cell. For the formation energy, the calculation gives -0.98 eV per formula unit.

***

The following is a PBE calculation of an optimized crystal structure of Y2NiAs3Rh4, from Alexandria via LeMat-Bulk.

The structure belongs to space group P-4m2 (No. 115); the cell edges are 4.141, 4.141 and 10.190 Å and the angles 90.00°, 90.00° and 90.00°. Symmetry generates all atoms from Y at (0.000, 0.500, 0.238), Ni at (0.500, 0.500, 0.000), As at (0.000, 0.000, 0.000), As at (0.000, 0.500, 0.639), Rh at (0.000, 0.000, 0.500), Rh at (0.000, 0.500, 0.870) and Rh at (0.500, 0.500, 0.500).

For the magnetic moment, the calculation gives 0.002 μB per cell. The volume comes out at 175 Å³/cell. For the formation energy, the calculation gives -8.20 eV per formula unit.

***

The following is a PBE calculation of an optimized crystal structure of AcPuAl2Si2, from Alexandria via LeMat-Bulk.

The structure belongs to space group P-3m1 (No. 164); the cell edges are 4.2417, 4.2417 and 8.6924 Å and the angles 90.00°, 90.00° and 120.00°. Symmetry generates all atoms from Ac at (0.0000, 0.0000, 0.0000), Pu at (0.0000, 0.0000, 0.5000), Al at (0.3333, 0.6667, 0.7283) and Si at (0.3333, 0.6667, 0.2817).

For the magnetic moment, the calculation gives 5.584 μB per cell. The value obtained for the energy relative to the elements, uncorrected is -263 kJ/mol of formula units. The volume comes out at 135 Å³/cell.

***

The following is a PBE calculation of an optimized crystal structure of NaV3Si, from Alexandria via LeMat-Bulk.

The structure belongs to space group Pm-3m (No. 221); the cell edges are 4.544, 4.544 and 4.544 Å and the angles 90.00°, 90.00° and 90.00°. Symmetry generates all atoms from Na at (0.000, 0.000, 0.000), V at (0.000, 0.500, 0.500) and Si at (0.500, 0.500, 0.500).

For the magnetic moment, the calculation gives 0.001 μB per cell. The value obtained for the energy relative to the elements, uncorrected is 468 kJ/mol of formula units. The value obtained for the relative energy among the computed polymorphs is 0.000 eV/atom. The volume comes out at 94 Å³/cell.

***

The following is a PBE calculation of an optimized crystal structure of Mn2Cu3, from Alexandria via LeMat-Bulk.

The structure belongs to space group Fdd2 (No. 43); the cell edges are 8.792, 12.695 and 4.701 Å and the angles 90.00°, 90.00° and 90.00°. Symmetry generates all atoms from Mn at (0.030, 0.303, 0.000), Cu at (0.000, 0.000, 0.435) and Cu at (0.038, 0.399, 0.477).

For the magnetic moment, the calculation gives 61.757 μB per cell. The value obtained for the relative energy among the computed polymorphs is 0.012 eV/atom. The volume comes out at 525 Å³/cell. For the formation energy, the calculation gives 1.12 eV per formula unit.

***

The following is a PBE calculation of an optimized crystal structure of TlCo2SeCl, from Alexandria via LeMat-Bulk.

The structure belongs to space group P4/mmm (No. 123); the cell edges are 4.415, 4.415 and 7.480 Å and the angles 90.00°, 90.00° and 90.00°. Symmetry generates all atoms from Tl at (0.000, 0.000, 0.000), Co at (0.000, 0.500, 0.500), Se at (0.500, 0.500, 0.500) and Cl at (0.500, 0.500, 0.000).

For the magnetic moment, the calculation gives 3.480 μB per cell. The value obtained for the energy relative to the elements, uncorrected is 136 kJ/mol of formula units. The value obtained for the relative energy among the computed polymorphs is 0.000 eV/atom. The volume comes out at 146 Å³/cell.

***

The following is a PBE calculation of an optimized crystal structure of TlHg2AuBr, from Alexandria via LeMat-Bulk.

The structure belongs to space group P4/mmm (No. 123); the cell edges are 5.383, 5.383 and 5.843 Å and the angles 90.00°, 90.00° and 90.00°. Symmetry generates all atoms from Tl at (0.000, 0.000, 0.000), Hg at (0.000, 0.500, 0.500), Au at (0.000, 0.000, 0.500) and Br at (0.500, 0.500, 0.000).

For the magnetic moment, the calculation gives 0.000 μB per cell. The value obtained for the energy relative to the elements, uncorrected is -104 kJ/mol of formula units. The volume comes out at 169 Å³/cell.

***

The following is a PBE calculation of an optimized crystal structure of RbScTeMo2, from Alexandria via LeMat-Bulk.

The structure belongs to space group P4/mmm (No. 123); the cell edges are 4.994, 4.994 and 5.643 Å and the angles 90.00°, 90.00° and 90.00°. Symmetry generates all atoms from Rb at (0.000, 0.000, 0.000), Sc at (0.000, 0.000, 0.500), Te at (0.500, 0.500, 0.000) and Mo at (0.000, 0.500, 0.500).

For the magnetic moment, the calculation gives 4.414 μB per cell. The value obtained for the energy relative to the elements, uncorrected is 797 kJ/mol of formula units. The volume comes out at 141 Å³/cell.